## AcTl2HgBi2 (PBE)

Data for crystalline AcTl2HgBi2 at its relaxed geometry.

Structure (POSCAR):
```
AcTl2HgBi2
1.0
4.880 0.000 0.000
0.000 8.149 0.000
0.000 0.000 10.407
Ac Bi Tl Hg
2 4 4 2
direct
0.000 0.981 0.461 Ac
0.000 0.481 0.539 Ac
0.000 0.253 0.822 Bi
0.500 0.757 0.638 Bi
0.000 0.753 0.178 Bi
0.500 0.257 0.362 Bi
0.500 0.533 0.922 Tl
0.000 0.353 0.140 Tl
0.500 0.033 0.078 Tl
0.000 0.853 0.860 Tl
0.500 0.669 0.338 Hg
0.500 0.169 0.662 Hg
```

Values from the calculation:
D(E_F) (states/eV/atom): 0.429
ΔE_f (kJ per mole of atoms): -28

=====

## AcTlHgBi (PBE)

Data for crystalline AcTlHgBi at its relaxed geometry.

Structure (POSCAR):
```
AcTlHgBi
1.0
5.211 0.000 0.000
0.000 5.211 0.000
-2.605 -2.606 4.737
Bi Tl Ac Hg
1 1 1 1
direct
0.250 0.750 0.500 Bi
0.000 0.000 0.000 Tl
0.500 0.500 0.000 Ac
0.750 0.250 0.500 Hg
```

Values from the calculation:
D(E_F) (states/eV/atom): 0.626
ΔE_f (kJ per mole of atoms): -40